[1]
A plane-wave DFT calculation with PBE-GGA was carried out for BeRe2As after structural relaxation.

Values from the calculation:
* DOS at the Fermi energy: 2.7 states/eV/cell
* ΔE_f: 0.4403 eV/atom
* density: 13.275 g cm⁻³

Cell: 4.322 4.322 4.322 Å, 60.00 60.00 60.00°
Sites, in units of the cell vectors:
Re: 0.000 0.000 0.000
Re: 0.250 0.250 0.250
Be: 0.750 0.750 0.750
As: 0.500 0.500 0.500


[2]
A plane-wave DFT calculation with PBE-GGA was carried out for Zn2CrN after structural relaxation.

Values from the calculation:
* DOS at the Fermi energy: 4.5 states/eV/cell
* raw formation energy: 0.295 eV per atom
* density: 6.014 g cm⁻³

Cell: 7.479 7.479 5.634 Å, 48.42 48.42 90.00°
Sites, in units of the cell vectors:
N: 0.250 0.750 0.500
N: 0.500 0.500 0.000
Zn: 0.375 0.475 0.750
Zn: 0.525 0.125 0.250
Zn: 0.225 0.625 0.250
Zn: 0.875 0.775 0.750
Cr: 0.000 0.000 0.000
Cr: 0.750 0.250 0.500


[3]
A plane-wave DFT calculation with PBE-GGA was carried out for ZrMn2PdC after structural relaxation.

Values from the calculation:
* DOS at the Fermi energy: 4.0 states/eV/cell
* ΔE_f: -0.2156 eV/atom
* density: 7.744 g cm⁻³

Cell: 3.887 3.887 4.535 Å, 90.00 90.00 90.00°
Sites, in units of the cell vectors:
C: 0.000 0.000 0.000
Mn: 0.000 0.500 0.000
Mn: 0.500 0.000 0.000
Zr: 0.000 0.000 0.500
Pd: 0.500 0.500 0.500


[4]
A plane-wave DFT calculation with PBE-GGA was carried out for ReAs2Pb after structural relaxation.

Values from the calculation:
* DOS at the Fermi energy: 4.2 states/eV/cell
* ΔE_f: 0.9324 eV/atom
* density: 11.617 g cm⁻³

Cell: 5.142 5.142 5.142 Å, 130.11 130.11 73.24°
Sites, in units of the cell vectors:
As: 0.250 0.750 0.500
As: 0.000 0.000 0.000
Re: 0.750 0.250 0.500
Pb: 0.500 0.500 0.000


[5]
A plane-wave DFT calculation with PBE-GGA was carried out for CsRb2Te after structural relaxation.

Values from the calculation:
* DOS at the Fermi energy: 1.5 states/eV/cell
* raw formation energy: -0.663 eV per atom
* density: 2.448 g cm⁻³

Cell: 5.925 5.925 10.217 Å, 73.14 73.14 60.00°
Sites, in units of the cell vectors:
Te: 0.655 0.655 0.036
Rb: 0.041 0.041 0.877
Rb: 0.286 0.286 0.142
Cs: 0.518 0.518 0.445


[6]
A plane-wave DFT calculation with PBE-GGA was carried out for Cu3Tc after structural relaxation.

Values from the calculation:
* DOS at the Fermi energy: 10.2 states/eV/cell
* ΔE_f: 0.5043 eV/atom
* density: 9.002 g cm⁻³

Cell: 4.740 4.740 4.740 Å, 90.00 90.00 90.00°
Sites, in units of the cell vectors:
Cu: 0.000 0.250 0.500
Cu: 0.750 0.500 0.000
Cu: 0.250 0.500 0.000
Cu: 0.500 0.000 0.750
Cu: 0.000 0.750 0.500
Cu: 0.500 0.000 0.250
Tc: 0.500 0.500 0.500
Tc: 0.000 0.000 0.000


[7]
A plane-wave DFT calculation with PBE-GGA was carried out for Al2Ag2Pb after structural relaxation.

Values from the calculation:
* DOS at the Fermi energy: 2.3 states/eV/cell
* ΔE_f: 0.1104 eV/atom
* density: 7.492 g cm⁻³

Cell: 4.169 4.169 6.759 Å, 72.04 72.04 90.00°
Sites, in units of the cell vectors:
Ag: 0.750 0.250 0.500
Ag: 0.250 0.750 0.500
Pb: 0.000 0.000 0.000
Al: 0.391 0.391 0.217
Al: 0.609 0.609 0.783


[8]
A plane-wave DFT calculation with PBE-GGA was carried out for Sr2PuPaN4 after structural relaxation.

Values from the calculation:
* DOS at the Fermi energy: 7.7 states/eV/cell
* raw formation energy: -1.232 eV per atom
* density: 8.682 g cm⁻³

Cell: 3.605 6.265 6.353 Å, 109.71 90.00 90.00°
Sites, in units of the cell vectors:
N: 0.500 0.219 0.201
N: 0.000 0.739 0.195
N: 0.500 0.781 0.799
N: 0.000 0.261 0.805
Sr: 0.000 0.500 0.500
Sr: 0.500 0.000 0.500
Pu: 0.500 0.500 0.000
Pa: 0.000 0.000 0.000